No. 1
# Mg3Sn3RuRh2

A geometry-optimized Mg3Sn3RuRh2 structure (PBE-GGA, Alexandria).

Results
Uncorrected energy = -44.24 eV per cell
DFT formation energy = -0.386 eV per atom

Lattice parameters (Å, degrees): 3.2891 7.6064 7.6064 120.00 90.00 90.00
Element x y z (fractional)
Rh 0.5000 0.3333 0.6667
Mg 0.0000 0.0000 0.3846
Mg 0.0000 0.3846 0.0000
Mg 0.0000 0.6154 0.6154
Sn 0.5000 0.2855 0.2855
Rh 0.5000 0.6667 0.3333
Ru 0.0000 0.0000 0.0000
Sn 0.5000 0.7145 0.0000
Sn 0.5000 0.0000 0.7145



No. 2
# Mg3Sn3Ru2Rh

A geometry-optimized Mg3Sn3Ru2Rh structure (PBE-GGA, Alexandria).

Results
Uncorrected energy = -44.84 eV per cell
DFT formation energy = -0.238 eV per atom

Lattice parameters (Å, degrees): 3.2756 7.5333 7.5333 120.00 90.00 90.00
Element x y z (fractional)
Sn 0.0000 0.0000 0.3798
Sn 0.0000 0.6202 0.6202
Mg 0.5000 0.7259 0.0000
Rh 0.0000 0.0000 0.0000
Sn 0.0000 0.3798 0.0000
Ru 0.5000 0.3333 0.6667
Ru 0.5000 0.6667 0.3333
Mg 0.5000 0.0000 0.7259
Mg 0.5000 0.2741 0.2741



No. 3
# TbMgRuRh

A geometry-optimized TbMgRuRh structure (PBE-GGA, Alexandria).

Results
Uncorrected energy = -24.30 eV per cell
DFT formation energy = -0.363 eV per atom

Lattice parameters (Å, degrees): 4.6382 4.6382 4.6382 60.00 60.00 60.00
Element x y z (fractional)
Tb 0.0000 0.0000 0.0000
Ru 0.7500 0.7500 0.7500
Mg 0.5000 0.5000 0.5000
Rh 0.2500 0.2500 0.2500



| no. | calculated density (g/cm3) |
| --- | --- |
| 1 | 7.42 |
| 2 | 7.57 |
| 3 | 9.11 |